# SrMnW meta-GGA SCAN single point on PBEsol structure
data_SrMnW
_chemical_formula_sum 'Sr1 Mn1 W1'
_space_group_name_H-M_alt 'P 3 m 1'
_space_group_IT_number 156
_cell_length_a 3.1803
_cell_length_b 3.1803
_cell_length_c 6.9225
_cell_angle_alpha 90.00
_cell_angle_beta 90.00
_cell_angle_gamma 120.00
loop_
_space_group_symop_operation_xyz
'x,y,z'
'-y,x-y,z'
'-x+y,-x,z'
'-y,-x,z'
'-x+y,y,z'
'x,x-y,z'
loop_
_atom_site_label
_atom_site_type_symbol
_atom_site_fract_x
_atom_site_fract_y
_atom_site_fract_z
Sr1 Sr 0.0000 0.0000 0.0000
Mn1 Mn 0.6667 0.3333 0.3745
W1 W 0.3333 0.6667 0.5828
# - total moment (μB/f.u.) = 1.17
# - relative energy among the computed polymorphs (eV/atom) = 0.376
# - formation energy from the elements (meV/atom) = 1091